Entry 1:
ZrGa2Pd at its PBEsol-relaxed geometry, computed with SCAN.

abc: 4.509 4.509 4.509
angles: 60.00 60.00 60.00
Positions (direct):
Ga 0.250 0.250 0.250
Ga 0.750 0.750 0.750
Zr 0.000 0.000 0.000
Pd 0.500 0.500 0.500

## Properties
* E_tot: -24.56 eV per atom
* ΔE_f: -0.52 eV/atom
* crystal system: cubic
* size of the total moment: 0.0 μB per formula unit

=====

Entry 2:
Be2AgRhW at its PBEsol-relaxed geometry, computed with SCAN.

abc: 4.026 4.026 4.912
angles: 90.00 90.00 90.00
Positions (direct):
Rh 0.500 0.500 0.500
Be 0.500 0.000 0.000
W 0.000 0.000 0.500
Be 0.000 0.500 0.000
Ag 0.000 0.000 0.000

## Properties
* E_tot: -27.22 eV per atom
* ΔE_f: 1.48 eV/atom
* crystal system: tetragonal
* size of the total moment: 0.0 μB per formula unit

=====

Question: Look up the ΔE_f of the first one.
Answer: -0.52 eV/atom

=====

Repeat the second record exactly.
Be2AgRhW at its PBEsol-relaxed geometry, computed with SCAN.

abc: 4.026 4.026 4.912
angles: 90.00 90.00 90.00
Positions (direct):
Rh 0.500 0.500 0.500
Be 0.500 0.000 0.000
W 0.000 0.000 0.500
Be 0.000 0.500 0.000
Ag 0.000 0.000 0.000

## Properties
* E_tot: -27.22 eV per atom
* ΔE_f: 1.48 eV/atom
* crystal system: tetragonal
* size of the total moment: 0.0 μB per formula unit

=====

Question: size of the total moment of number 2 (Be2AgRhW)?
Answer: 0.0 μB per formula unit